# 1
A geometry-optimized TiTe2WN structure. Source: the Alexandria database, functional PBE-GGA.

Output
DFT total energy   -6.364 eV per atom
Crystal system   tetragonal
Mass density   7.7 Mg/m³
ΔE_f (raw)   70 kJ per mole of atoms

```
data_TiTe2WN
_chemical_formula_sum 'Ti1 Te2 W1 N1'
_cell_length_a 5.436
_cell_length_b 5.436
_cell_length_c 3.661
_cell_angle_alpha 90.00
_cell_angle_beta 90.00
_cell_angle_gamma 90.00
_symmetry_space_group_name_H-M 'P 1'
_symmetry_Int_Tables_number 1
_symmetry_space_group_name_Hall 'P 1'
loop_
_atom_site_label
_atom_site_fract_x
_atom_site_fract_y
_atom_site_fract_z
_atom_site_occupancy
Ti1 0.000 0.000 0.000 1
Te1 0.000 0.500 0.000 1
W1 0.500 0.500 0.500 1
N1 0.000 0.000 0.500 1
Te2 0.500 0.000 0.000 1
```

# 2
A geometry-optimized Cs4CaCd3F12 structure. Source: the Alexandria database, functional PBE-GGA.

Output
DFT total energy   -4.250 eV per atom
Crystal system   cubic
Mass density   5.0 Mg/m³
ΔE_f (raw)   -262 kJ per mole of atoms

```
data_Cs4CaCd3F12
_chemical_formula_sum 'Cs4 Ca1 Cd3 F12'
_cell_length_a 7.902
_cell_length_b 7.902
_cell_length_c 7.902
_cell_angle_alpha 109.47
_cell_angle_beta 109.47
_cell_angle_gamma 109.47
_symmetry_space_group_name_H-M 'P 1'
_symmetry_Int_Tables_number 1
_symmetry_space_group_name_Hall 'P 1'
loop_
_atom_site_label
_atom_site_fract_x
_atom_site_fract_y
_atom_site_fract_z
_atom_site_occupancy
F1 0.250 0.250 0.000 1
F2 0.500 0.750 0.250 1
F3 0.250 0.000 0.250 1
F4 0.000 0.750 0.750 1
F5 0.750 0.500 0.250 1
Cs1 0.500 0.500 0.500 1
Cs2 0.500 0.000 0.000 1
F6 0.750 0.000 0.750 1
Cd1 0.000 0.500 0.500 1
Cs3 0.000 0.500 0.000 1
F7 0.750 0.750 0.000 1
F8 0.000 0.250 0.250 1
F9 0.750 0.250 0.500 1
F10 0.250 0.500 0.750 1
F11 0.500 0.250 0.750 1
F12 0.250 0.750 0.500 1
Ca1 0.000 0.000 0.000 1
Cd2 0.500 0.000 0.500 1
Cs4 0.000 0.000 0.500 1
Cd3 0.500 0.500 0.000 1
```

# 3
A geometry-optimized NaYGeRh2 structure. Source: the Alexandria database, functional PBE-GGA.

Output
DFT total energy   -4.673 eV per atom
Crystal system   tetragonal
DFT formation energy   361 kJ/mol of formula units
Mass density   4.7 Mg/m³

```
data_NaYGeRh2
_chemical_formula_sum 'Na1 Y1 Ge1 Rh2'
_cell_length_a 4.986
_cell_length_b 5.520
_cell_length_c 4.986
_cell_angle_alpha 90.00
_cell_angle_beta 90.00
_cell_angle_gamma 90.00
_symmetry_space_group_name_H-M 'P 1'
_symmetry_Int_Tables_number 1
_symmetry_space_group_name_Hall 'P 1'
loop_
_atom_site_label
_atom_site_fract_x
_atom_site_fract_y
_atom_site_fract_z
_atom_site_occupancy
Na1 0.500 0.500 0.500 1
Rh1 0.000 0.000 0.500 1
Y1 0.000 0.000 0.000 1
Ge1 0.000 0.500 0.000 1
Rh2 0.500 0.000 0.000 1
```

# 4
A geometry-optimized Dy3ErTl2 structure. Source: the Alexandria database, functional PBE-GGA.

Output
DFT total energy   -4.116 eV per atom
Crystal system   orthorhombic
DFT formation energy   -154 kJ/mol of formula units
Mass density   10.3 Mg/m³

```
data_Dy3ErTl2
_chemical_formula_sum 'Dy6 Er2 Tl4'
_cell_length_a 5.085
_cell_length_b 6.777
_cell_length_c 9.973
_cell_angle_alpha 90.00
_cell_angle_beta 90.00
_cell_angle_gamma 90.00
_symmetry_space_group_name_H-M 'P 1'
_symmetry_Int_Tables_number 1
_symmetry_space_group_name_Hall 'P 1'
loop_
_atom_site_label
_atom_site_fract_x
_atom_site_fract_y
_atom_site_fract_z
_atom_site_occupancy
Er1 0.500 0.545 0.540 1
Tl1 0.500 0.207 0.134 1
Dy1 0.500 0.175 0.812 1
Tl2 0.000 0.293 0.634 1
Dy2 0.000 0.954 0.040 1
Dy3 0.000 0.454 0.960 1
Dy4 0.500 0.675 0.188 1
Dy5 0.000 0.825 0.686 1
Tl3 0.500 0.707 0.866 1
Er2 0.500 0.045 0.460 1
Dy6 0.000 0.325 0.314 1
Tl4 0.000 0.793 0.366 1
```

# 5
A geometry-optimized BaTl2SiSe4 structure. Source: the Alexandria database, functional PBE-GGA.

Output
DFT total energy   -3.849 eV per atom
Crystal system   orthorhombic
Mass density   5.9 Mg/m³
ΔE_f (raw)   -58 kJ per mole of atoms

```
data_BaTl2SiSe4
_chemical_formula_sum 'Ba2 Tl4 Si2 Se8'
_cell_length_a 8.795
_cell_length_b 8.795
_cell_length_c 10.895
_cell_angle_alpha 128.29
_cell_angle_beta 128.29
_cell_angle_gamma 76.01
_symmetry_space_group_name_H-M 'P 1'
_symmetry_Int_Tables_number 1
_symmetry_space_group_name_Hall 'P 1'
loop_
_atom_site_label
_atom_site_fract_x
_atom_site_fract_y
_atom_site_fract_z
_atom_site_occupancy
Si1 0.500 0.500 0.500 1
Tl1 0.500 0.500 0.000 1
Se1 0.789 0.229 0.009 1
Si2 0.000 0.000 0.000 1
Se2 0.729 0.289 0.509 1
Se3 0.000 0.000 0.218 1
Ba1 0.000 0.500 0.500 1
Se4 0.500 0.500 0.718 1
Tl2 0.500 0.000 0.500 1
Ba2 0.000 0.500 0.000 1
Tl3 0.000 0.000 0.500 1
Se5 0.000 0.000 0.782 1
Tl4 0.500 0.000 0.000 1
Se6 0.271 0.711 0.491 1
Se7 0.500 0.500 0.282 1
Se8 0.211 0.771 0.991 1
```

# 6
A geometry-optimized Ta5Nb2Re structure. Source: the Alexandria database, functional PBE-GGA.

Output
DFT total energy   -11.551 eV per atom
Crystal system   orthorhombic
DFT formation energy   -53 kJ/mol of formula units
Mass density   14.8 Mg/m³

```
data_Ta5Nb2Re
_chemical_formula_sum 'Ta10 Nb4 Re2'
_cell_length_a 4.673
_cell_length_b 5.575
_cell_length_c 10.971
_cell_angle_alpha 90.00
_cell_angle_beta 90.00
_cell_angle_gamma 90.00
_symmetry_space_group_name_H-M 'P 1'
_symmetry_Int_Tables_number 1
_symmetry_space_group_name_Hall 'P 1'
loop_
_atom_site_label
_atom_site_fract_x
_atom_site_fract_y
_atom_site_fract_z
_atom_site_occupancy
Ta1 0.000 0.640 0.245 1
Nb1 0.500 0.660 0.629 1
Ta2 0.500 0.340 0.112 1
Ta3 0.000 0.000 0.000 1
Nb2 0.500 0.160 0.871 1
Nb3 0.500 0.840 0.129 1
Re1 0.000 0.500 0.000 1
Ta4 0.000 0.360 0.755 1
Ta5 0.000 0.860 0.745 1
Ta6 0.000 0.140 0.255 1
Ta7 0.000 0.500 0.500 1
Re2 0.000 0.000 0.500 1
Ta8 0.500 0.160 0.612 1
Ta9 0.500 0.840 0.388 1
Ta10 0.500 0.660 0.888 1
Nb4 0.500 0.340 0.371 1
```

# 7
A geometry-optimized MgAsIrSe2 structure. Source: the Alexandria database, functional PBE-GGA.

Output
DFT total energy   -3.333 eV per atom
Crystal system   tetragonal
Mass density   6.7 Mg/m³
ΔE_f (raw)   104 kJ per mole of atoms

```
data_MgAsIrSe2
_chemical_formula_sum 'Mg1 As1 Ir1 Se2'
_cell_length_a 4.829
_cell_length_b 4.829
_cell_length_c 4.800
_cell_angle_alpha 90.00
_cell_angle_beta 90.00
_cell_angle_gamma 90.00
_symmetry_space_group_name_H-M 'P 1'
_symmetry_Int_Tables_number 1
_symmetry_space_group_name_Hall 'P 1'
loop_
_atom_site_label
_atom_site_fract_x
_atom_site_fract_y
_atom_site_fract_z
_atom_site_occupancy
Se1 0.500 0.000 0.000 1
Ir1 0.500 0.500 0.500 1
As1 0.000 0.000 0.500 1
Mg1 0.000 0.000 0.000 1
Se2 0.000 0.500 0.000 1
```

# 8
A geometry-optimized Nb3PtS structure. Source: the Alexandria database, functional PBE-GGA.

Output
DFT total energy   -6.909 eV per atom
Crystal system   cubic
Mass density   7.1 Mg/m³
ΔE_f (raw)   113 kJ per mole of atoms

```
data_Nb3PtS
_chemical_formula_sum 'Nb3 Pt1 S1'
_cell_length_a 4.918
_cell_length_b 4.918
_cell_length_c 4.918
_cell_angle_alpha 90.00
_cell_angle_beta 90.00
_cell_angle_gamma 90.00
_symmetry_space_group_name_H-M 'P 1'
_symmetry_Int_Tables_number 1
_symmetry_space_group_name_Hall 'P 1'
loop_
_atom_site_label
_atom_site_fract_x
_atom_site_fract_y
_atom_site_fract_z
_atom_site_occupancy
Nb1 0.000 0.000 0.500 1
Nb2 0.000 0.500 0.000 1
Pt1 0.000 0.000 0.000 1
S1 0.500 0.500 0.500 1
Nb3 0.500 0.000 0.000 1
```

Values for V, Å³/cell, ordered as above
108 380 137 344 505 286 112 119
Values for total moment, μB per cell, ordered as above
2.780 0.000 0.000 0.000 0.000 0.000 0.000 0.000